# 1
Below is an optimized crystal structure of Tb2ErSc5, with properties calculated at the GGA-PBE level.

Computed properties:
For the theoretical density, the calculation gives 5.4 g/cm³. The value obtained for the formation energy is 0.110 eV per atom. The calculation puts the total DFT energy (no corrections) at -5.575 eV/atom. The spin magnetization is 0.00 μB per cell. Its energy relative to the lowest polymorph listed for this composition is 0.052 eV per atom.

a b c (Å): 7.6017 7.6017 7.4874
angles (deg): 90.00 90.00 90.00
With the nearest neighbours (Å) after each atom.
Fractional positions:
1 Tb 0.0000 0.5000 0.0000  8 Sc 3.27-3.28
2 Tb 0.0000 0.5000 0.5000  8 Sc 3.27-3.28
3 Tb 0.5000 0.0000 0.0000  8 Sc 3.27-3.28
4 Tb 0.5000 0.0000 0.5000  8 Sc 3.27-3.28
5 Er 0.0000 0.0000 0.0005  8 Sc 3.28
6 Er 0.5000 0.5000 0.5005  8 Sc 3.28
7 Sc 0.0000 0.0000 0.4996  8 Sc 3.28
8 Sc 0.2502 0.2502 0.2501  4 Tb 3.27-3.28, 2 Er 3.28, 2 Sc 3.28
9 Sc 0.2498 0.2498 0.7501  4 Tb 3.27-3.28, 2 Er 3.28, 2 Sc 3.28
10 Sc 0.2502 0.7498 0.2501  4 Tb 3.27-3.28, 2 Er 3.28, 2 Sc 3.28
11 Sc 0.2498 0.7502 0.7501  4 Tb 3.27-3.28, 2 Er 3.28, 2 Sc 3.28
12 Sc 0.5000 0.5000 0.9996  8 Sc 3.28
13 Sc 0.7498 0.2502 0.2501  4 Tb 3.27-3.28, 2 Er 3.28, 2 Sc 3.28
14 Sc 0.7502 0.2498 0.7501  4 Tb 3.27-3.28, 2 Er 3.28, 2 Sc 3.28
15 Sc 0.7498 0.7498 0.2501  4 Tb 3.27-3.28, 2 Er 3.28, 2 Sc 3.28
16 Sc 0.7502 0.7502 0.7501  4 Tb 3.27-3.28, 2 Er 3.28, 2 Sc 3.28


# 2
Below is an optimized crystal structure of SiTePd, with properties calculated at the GGA-PBE level.

Computed properties:
For the theoretical density, the calculation gives 6.2 g/cm³. Its uncorrected formation energy is -125 meV/atom. The calculation puts the total DFT energy (no corrections) at -4.711 eV/atom. The spin magnetization is 0.00 μB per cell. Its energy relative to the lowest polymorph listed for this composition is 0.085 eV per atom.

a b c (Å): 7.0455 4.0301 5.4763
angles (deg): 90.00 115.97 90.00
With the nearest neighbours (Å) after each atom.
Fractional positions:
1 Si 0.0000 0.0000 0.0000  3 Pd 2.49-2.50, 1 Te 2.66
2 Si 0.5000 0.5000 0.0000  3 Pd 2.49-2.50, 1 Te 2.66
3 Te 0.3204 0.5000 0.4606  1 Si 2.66, 3 Pd 2.72-2.73
4 Te 0.8204 0.0000 0.4606  1 Si 2.66, 3 Pd 2.72-2.73
5 Pd 0.3924 0.0000 0.1764  3 Si 2.49-2.50, 3 Te 2.72-2.73
6 Pd 0.8924 0.5000 0.1764  3 Si 2.49-2.50, 3 Te 2.72-2.73


# 3
Below is an optimized crystal structure of Zr2FeCl, with properties calculated at the GGA-PBE level.

Computed properties:
For the theoretical density, the calculation gives 5.9 g/cm³. Its uncorrected formation energy is -505 meV/atom. The calculation puts the total DFT energy (no corrections) at -7.357 eV/atom. The spin magnetization is 0.68 μB per cell. Its energy relative to the lowest polymorph listed for this composition is 0.000 eV per atom.

a b c (Å): 3.1208 3.2241 7.6773
angles (deg): 90.00 90.00 90.00
With the nearest neighbours (Å) after each atom.
Fractional positions:
1 Zr 0.0000 0.0000 0.2031  4 Fe 2.73, 2 Cl 2.76
2 Zr 0.0000 0.0000 0.7969  4 Fe 2.73, 2 Cl 2.76
3 Fe 0.5000 0.5000 0.0000  8 Zr 2.73
4 Cl 0.5000 0.0000 0.5000  4 Zr 2.76